No. 1
## ZrCdW2 (PBEsol)

Data for a relaxed ZrCdW2 crystal.

The energy relative to the elements is 0.450 eV per atom. The calculation puts the total magnetic moment at 0.00 μB/atom. The mass density is 13.34 Mg/m³. Its calculated volume is 142.2 Å³/cell.

The structure belongs to space group Cm (No. 8); the cell edges are 9.610, 2.719 and 5.457 Å and the angles 90.00°, 94.26° and 90.00°. The distinct sites, in fractional coordinates, are Zr at (0.000, 0.000, 0.000), Cd at (0.251, 0.000, 0.752), W at (0.009, 0.500, 0.488) and W at (0.256, 0.500, 0.270).

No. 2
## ZrCd3W (PBEsol)

Data for a relaxed ZrCd3W crystal.

The energy relative to the elements is 1.423 eV per atom. The calculation puts the total magnetic moment at 0.00 μB/atom. The mass density is 7.95 Mg/m³. Its calculated volume is 127.9 Å³/cell.

The structure belongs to space group Pm-3m (No. 221); the cell edges are 5.038, 5.038 and 5.038 Å and the angles 90.00°, 90.00° and 90.00°. The distinct sites, in fractional coordinates, are Zr at (0.000, 0.000, 0.000), Cd at (0.000, 0.500, 0.500) and W at (0.500, 0.500, 0.500).

No. 3
## ZrCdW2 (PBEsol)

Data for a relaxed ZrCdW2 crystal.

The energy relative to the elements is 0.383 eV per atom. The calculation puts the total magnetic moment at 0.00 μB/atom. The mass density is 13.34 Mg/m³. Its calculated volume is 71.1 Å³/cell.

The structure belongs to space group Pmm2 (No. 25); the cell edges are 2.735, 4.352 and 5.977 Å and the angles 90.00°, 90.00° and 90.00°. The distinct sites, in fractional coordinates, are Zr at (0.000, 0.000, 0.000), Cd at (0.500, 0.500, 0.258), W at (0.000, 0.000, 0.522) and W at (0.500, 0.500, 0.736).

No. 4
## ZrCdW2 (PBEsol)

Data for a relaxed ZrCdW2 crystal.

The energy relative to the elements is 0.369 eV per atom. The calculation puts the total magnetic moment at 0.00 μB/atom. The mass density is 13.55 Mg/m³. Its calculated volume is 140.0 Å³/cell.

The structure belongs to space group C2/m (No. 12); the cell edges are 5.697, 9.617 and 2.730 Å and the angles 90.00°, 110.59° and 90.00°. The distinct sites, in fractional coordinates, are Zr at (0.000, 0.000, 0.000), Cd at (0.000, 0.500, 0.000) and W at (0.250, 0.250, 0.500).

No. 5
## ZrCdW2 (PBEsol)

Data for a relaxed ZrCdW2 crystal.

The energy relative to the elements is 0.575 eV per atom. The calculation puts the total magnetic moment at 0.00 μB/atom. The mass density is 13.45 Mg/m³. Its calculated volume is 70.5 Å³/cell.

The structure belongs to space group P4/mmm (No. 123); the cell edges are 3.438, 3.438 and 5.966 Å and the angles 90.00°, 90.00° and 90.00°. The distinct sites, in fractional coordinates, are Zr at (0.000, 0.000, 0.000), Cd at (0.000, 0.000, 0.500) and W at (0.500, 0.500, 0.250).

No. 6
## ZrCd2W (PBEsol)

Data for a relaxed ZrCd2W crystal.

The energy relative to the elements is 0.558 eV per atom. The calculation puts the total magnetic moment at 0.09 μB/atom. The relative energy among the computed polymorphs is 85.9 meV per atom. The mass density is 10.85 Mg/m³. Its calculated volume is 306.1 Å³/cell.

The structure belongs to space group F-43m (No. 216); the cell edges are 6.740, 6.740 and 6.740 Å and the angles 90.00°, 90.00° and 90.00°. The distinct sites, in fractional coordinates, are Zr at (0.000, 0.000, 0.000), Cd at (0.000, 0.000, 0.500), Cd at (0.250, 0.250, 0.750) and W at (0.250, 0.250, 0.250).

No. 7
## Y3Cd (PBEsol)

Data for a relaxed Y3Cd crystal.

The energy relative to the elements is -0.176 eV per atom. The calculation puts the total magnetic moment at 0.00 μB/atom. The relative energy among the computed polymorphs is 0.0 meV per atom. The mass density is 5.63 Mg/m³. Its calculated volume is 223.8 Å³/cell.

The structure belongs to space group Immm (No. 71); the cell edges are 3.750, 5.288 and 11.286 Å and the angles 90.00°, 90.00° and 90.00°. The distinct sites, in fractional coordinates, are Y at (0.000, 0.000, 0.000), Y at (0.000, 0.500, 0.222) and Cd at (0.000, 0.000, 0.500).

No. 8
## Y3Cd (PBEsol)

Data for a relaxed Y3Cd crystal.

The energy relative to the elements is -0.144 eV per atom. The calculation puts the total magnetic moment at 0.00 μB/atom. The relative energy among the computed polymorphs is 31.7 meV per atom. The mass density is 5.67 Mg/m³. Its calculated volume is 444.2 Å³/cell.

The structure belongs to space group Cmcm (No. 63); the cell edges are 8.369, 10.385 and 5.111 Å and the angles 90.00°, 90.00° and 90.00°. The distinct sites, in fractional coordinates, are Y at (0.000, 0.110, 0.250), Y at (0.208, 0.387, 0.250) and Cd at (0.000, 0.324, 0.750).

Question: Which of these has the highest total magnetic moment?
Answer: ZrCd2W